12
Lattice="-4.903 -2.264 -0.258 -1.765 -2.103 -4.658 1.120 -8.935 0.472" Properties=species:S:1:pos:R:3 comment="Li2La3Cu7 | Alexandria via LeMat-Bulk | PBE | optimized geometry" dos_ef_per_ev_fu=7.3 energy_ev_per_cell=-48.4 pbc="T T T"
Cu -2.555 -4.037 -1.970
Cu -2.141 -8.250 -0.225
Cu -0.625 -8.172 -2.350
Cu -2.774 -6.651 -2.222
Cu -3.407 -5.053 -4.220
Cu -4.923 -5.130 -2.095
Cu -2.993 -9.266 -2.474
La -5.250 -7.540 -4.021
La 0.000 0.000 0.000
La -0.298 -5.763 -0.423
Li -2.180 -1.552 -1.611
Li -3.368 -11.751 -2.833